[1]
CaScAgGe after structural relaxation. Source: Alexandria via LeMat-Bulk, functional PBE-GGA.

Cell and atoms, written as extended XYZ:
```
4
Lattice="4.970 0.000 0.000 2.485 4.304 0.000 2.485 1.435 4.058" Properties=species:S:1:pos:R:3 pbc="T T T"
Ag 2.485 1.435 1.014
Ca 0.000 0.000 0.000
Ge 7.454 4.304 3.043
Sc 4.970 2.869 2.029
```

ρ: 5081 kg/m3
energy: -4.41 eV/atom
space-group type: F-43m (216)
DOS at the Fermi energy: 0.4500 states/eV per atom
energy of formation: -459 meV per atom
total magnetic moment: 0.0 μB/f.u.

[2]
CaAg2GeSe4 after structural relaxation. Source: Alexandria via LeMat-Bulk, functional PBE-GGA.

Cell and atoms, written as extended XYZ:
```
16
Lattice="-4.573 -5.250 -0.544 0.112 -0.849 7.259 -6.733 5.784 0.780" Properties=species:S:1:pos:R:3 pbc="T T T"
Se -5.476 -3.666 2.171
Se -3.996 -5.439 5.834
Ge -4.545 -5.399 0.801
Ca -2.092 -3.222 5.828
Se -1.541 -1.971 1.316
Se -5.158 0.708 1.114
Se -3.576 -0.948 4.789
Ag -4.018 -1.455 2.150
Ag -1.609 0.774 5.217
Ca -7.821 -2.380 1.029
Se -7.128 -2.202 5.690
Ag -7.305 1.369 2.531
Se -9.264 -0.412 2.610
Ge -5.554 -0.417 6.034
Se -6.521 1.582 5.130
Ag -5.055 3.734 5.616
```

ρ: 4705 kg/m3
energy: -3.90 eV/atom
space-group type: Pmn2_1 (31)
total magnetic moment: 0.0 μB/f.u.

[3]
CaSmAgGe after structural relaxation. Source: Alexandria via LeMat-Bulk, functional PBE-GGA.

Cell and atoms, written as extended XYZ:
```
4
Lattice="5.177 0.000 0.000 2.588 4.483 0.000 2.588 1.494 4.227" Properties=species:S:1:pos:R:3 pbc="T T T"
Ag 7.765 4.483 3.170
Sm 0.000 0.000 0.000
Ge 2.588 1.494 1.057
Ca 5.177 2.989 2.113
```

ρ: 6279 kg/m3
energy: -4.08 eV/atom
space-group type: F-43m (216)
DOS at the Fermi energy: 0.3828 states/eV per atom
energy of formation: -534 meV per atom
total magnetic moment: 0.0 μB/f.u.